1.
First-principles (PBE-GGA) data for a relaxed structure of Ba2SiAg2, as listed in the Alexandria database.

The polymorph energy (0 for the lowest one) is 0.000 eV/atom. As for the density: 5.53 g cm⁻³. The value obtained for the size of the total moment is 0.00 μB/f.u. Its raw formation energy is -0.61 eV/f.u.

It has space group I4/mmm (No. 139), with a = 3.980 Å, b = 3.980 Å, c = 19.649 Å, α = 90.00°, β = 90.00° and γ = 90.00°. Symmetry generates all atoms from Ba at (0.000, 0.000, 0.100), Si at (0.000, 0.000, 0.500) and Ag at (0.000, 0.500, 0.250).



2.
First-principles (PBE-GGA) data for a relaxed structure of Nd3Dy7Y2, as listed in the Alexandria database.

The polymorph energy (0 for the lowest one) is 0.000 eV/atom. As for the density: 7.35 g cm⁻³. The value obtained for the size of the total moment is 0.00 μB/f.u. The energy of formation comes out at 1.0 eV/f.u.

It has space group P2/m (No. 10), with a = 6.376 Å, b = 3.539 Å, c = 17.599 Å, α = 90.00°, β = 96.19° and γ = 90.00°. Symmetry generates all atoms from Nd at (0.000, 0.000, 0.000), Nd at (0.048, 0.500, 0.659), Dy at (0.230, 0.500, 0.165), Dy at (0.246, 0.000, 0.501), Dy at (0.275, 0.000, 0.834), Dy at (0.500, 0.500, 0.000) and Y at (0.445, 0.000, 0.327).



3.
First-principles (PBE-GGA) data for a relaxed structure of YCoSn2Bi, as listed in the Alexandria database.

As for the density: 7.78 g cm⁻³. The value obtained for the size of the total moment is 0.00 μB/f.u. The energy of formation comes out at -1.3 eV/f.u.

It has space group P4/mmm (No. 123), with a = 4.903 Å, b = 4.903 Å, c = 5.276 Å, α = 90.00°, β = 90.00° and γ = 90.00°. Symmetry generates all atoms from Y at (0.000, 0.000, 0.000), Co at (0.000, 0.000, 0.500), Sn at (0.000, 0.500, 0.500) and Bi at (0.500, 0.500, 0.000).